This record from Alexandria via LeMat-Bulk describes a relaxed structure of Na3YH6C3O12. The functional is PBEsol.

The structure in POSCAR format:
```
Na3YH6C3O12
1.0
5.893 0.000 0.000
0.000 9.952 0.000
0.000 0.000 17.153
Na Y H C O
12 4 24 12 48
direct
0.088 0.874 0.952
0.588 0.126 0.048
0.588 0.374 0.548
0.088 0.626 0.452
0.595 0.637 0.860
0.095 0.363 0.140
0.095 0.137 0.640
0.595 0.863 0.360
0.589 0.978 0.579
0.089 0.021 0.421
0.089 0.479 0.921
0.589 0.521 0.079
0.317 0.673 0.663
0.817 0.327 0.337
0.817 0.173 0.837
0.317 0.827 0.163
0.554 0.696 0.511
0.054 0.304 0.489
0.054 0.196 0.989
0.554 0.804 0.011
0.764 0.727 0.571
0.264 0.273 0.429
0.264 0.227 0.929
0.764 0.773 0.071
0.768 0.782 0.735
0.268 0.218 0.265
0.268 0.282 0.765
0.768 0.718 0.235
0.564 0.877 0.764
0.064 0.123 0.236
0.064 0.377 0.736
0.564 0.623 0.264
0.765 0.509 0.681
0.265 0.491 0.319
0.265 0.009 0.819
0.765 0.991 0.181
0.563 0.421 0.719
0.063 0.579 0.281
0.063 0.921 0.781
0.563 0.079 0.219
0.589 0.944 0.901
0.089 0.056 0.099
0.089 0.444 0.599
0.589 0.556 0.401
0.088 0.687 0.808
0.588 0.313 0.192
0.588 0.187 0.692
0.088 0.813 0.308
0.084 0.877 0.582
0.584 0.123 0.418
0.584 0.377 0.918
0.084 0.623 0.082
0.036 0.765 0.747
0.536 0.235 0.253
0.536 0.265 0.753
0.036 0.735 0.247
0.970 0.970 0.548
0.470 0.030 0.452
0.470 0.470 0.952
0.970 0.530 0.048
0.037 0.749 0.572
0.537 0.251 0.428
0.537 0.249 0.928
0.037 0.751 0.072
0.250 0.904 0.629
0.750 0.096 0.371
0.750 0.404 0.871
0.250 0.596 0.129
0.037 0.498 0.667
0.537 0.502 0.333
0.537 0.998 0.833
0.037 0.002 0.167
0.255 0.606 0.797
0.755 0.394 0.203
0.755 0.106 0.703
0.255 0.894 0.297
0.977 0.695 0.871
0.477 0.305 0.129
0.477 0.195 0.629
0.977 0.805 0.371
0.481 0.841 0.926
0.981 0.159 0.074
0.981 0.341 0.574
0.481 0.659 0.426
0.753 0.000 0.939
0.253 0.000 0.061
0.253 0.500 0.561
0.753 0.500 0.439
0.592 0.723 0.567
0.092 0.277 0.433
0.092 0.223 0.933
0.592 0.777 0.067
0.596 0.792 0.734
0.096 0.208 0.266
0.096 0.292 0.766
0.596 0.708 0.234
0.594 0.505 0.688
0.094 0.495 0.312
0.094 0.005 0.812
0.594 0.995 0.188
```

- M_tot (μB per cell) = 0.01
- density of states at the Fermi level (states/eV/f.u.) = 0.0
- crystal system = orthorhombic
- space group = Pna2_1 (33)
- energy (eV per cell) = -659.2